# 1
# AsOsS PBE relaxed
# Total magnetization in μB per cell: 0.00
# E_tot in eV/cell: -83.96
# E_form (uncorrected) in eV per atom: -0.3275
data_AsOsS
_chemical_formula_sum 'As4 Os4 S4'
_symmetry_space_group_name_H-M 'P 1'
_symmetry_Int_Tables_number 1
_symmetry_space_group_name_Hall 'P 1'
_cell_length_a 5.960
_cell_length_b 5.990
_cell_length_c 6.077
_cell_angle_alpha 112.09
_cell_angle_beta 90.00
_cell_angle_gamma 90.00
loop_
_atom_site_label
_atom_site_fract_x
_atom_site_fract_y
_atom_site_fract_z
Os1 0.003 0.266 0.550
Os2 0.503 0.282 0.035
Os3 0.003 0.718 0.965
Os4 0.503 0.734 0.450
As1 0.875 0.151 0.125
As2 0.375 0.849 0.875
As3 0.869 0.658 0.570
As4 0.369 0.342 0.430
S1 0.123 0.846 0.377
S2 0.631 0.660 0.064
S3 0.623 0.154 0.623
S4 0.131 0.340 0.936



# 2
# AsOsS3 PBE relaxed
# Total magnetization in μB per cell: 0.00
# E_tot in eV/cell: -24.81
# E_form (uncorrected) in eV per atom: 0.6894
# Offset from the most stable computed form in kJ/mol of formula units: 0.0
data_AsOsS3
_chemical_formula_sum 'As1 Os1 S3'
_symmetry_space_group_name_H-M 'P 1'
_symmetry_Int_Tables_number 1
_symmetry_space_group_name_Hall 'P 1'
_cell_length_a 4.594
_cell_length_b 4.594
_cell_length_c 4.594
_cell_angle_alpha 90.00
_cell_angle_beta 90.00
_cell_angle_gamma 90.00
loop_
_atom_site_label
_atom_site_fract_x
_atom_site_fract_y
_atom_site_fract_z
Os1 0.000 0.000 0.000
S1 0.500 0.000 0.000
S2 0.000 0.000 0.500
S3 0.000 0.500 0.000
As1 0.500 0.500 0.500



# 3
# AsOsSe2S PBE relaxed
# Total magnetization in μB per cell: 0.00
# E_tot in eV/cell: -22.81
# E_form (uncorrected) in eV per atom: 0.8337
# Offset from the most stable computed form in kJ/mol of formula units: 0.0
data_AsOsSe2S
_chemical_formula_sum 'As1 Os1 Se2 S1'
_symmetry_space_group_name_H-M 'P 1'
_symmetry_Int_Tables_number 1
_symmetry_space_group_name_Hall 'P 1'
_cell_length_a 4.833
_cell_length_b 4.833
_cell_length_c 4.837
_cell_angle_alpha 90.00
_cell_angle_beta 90.00
_cell_angle_gamma 90.00
loop_
_atom_site_label
_atom_site_fract_x
_atom_site_fract_y
_atom_site_fract_z
S1 0.500 0.500 0.500
Os1 0.000 0.000 0.000
Se1 0.500 0.000 0.000
Se2 0.000 0.500 0.000
As1 0.000 0.000 0.500



# 4
# AsOsSe2S PBE relaxed
# Total magnetization in μB per cell: 0.00
# E_tot in eV/cell: -19.73
# E_form (uncorrected) in eV per atom: 1.4496
# Offset from the most stable computed form in kJ/mol of formula units: 297.1
data_AsOsSe2S
_chemical_formula_sum 'As1 Os1 Se2 S1'
_symmetry_space_group_name_H-M 'P 1'
_symmetry_Int_Tables_number 1
_symmetry_space_group_name_Hall 'P 1'
_cell_length_a 4.607
_cell_length_b 4.607
_cell_length_c 4.679
_cell_angle_alpha 90.00
_cell_angle_beta 90.00
_cell_angle_gamma 90.00
loop_
_atom_site_label
_atom_site_fract_x
_atom_site_fract_y
_atom_site_fract_z
Se1 0.500 0.000 0.000
Se2 0.000 0.500 0.000
S1 0.000 0.000 0.000
As1 0.000 0.000 0.500
Os1 0.500 0.500 0.500



# 5
# Th6As3OsS2 PBE relaxed
# Total magnetization in μB per cell: 0.00
# E_tot in eV/cell: -94.19
# E_form (uncorrected) in eV per atom: -1.3531
data_Th6As3OsS2
_chemical_formula_sum 'Th6 As3 Os1 S2'
_symmetry_space_group_name_H-M 'P 1'
_symmetry_Int_Tables_number 1
_symmetry_space_group_name_Hall 'P 1'
_cell_length_a 4.150
_cell_length_b 8.394
_cell_length_c 9.384
_cell_angle_alpha 103.04
_cell_angle_beta 102.78
_cell_angle_gamma 90.00
loop_
_atom_site_label
_atom_site_fract_x
_atom_site_fract_y
_atom_site_fract_z
S1 0.834 0.668 0.667
S2 0.166 0.332 0.333
Th1 0.663 0.086 0.326
Th2 0.331 0.424 0.661
Th3 0.000 0.233 0.001
Th4 0.000 0.767 0.999
Th5 0.669 0.576 0.339
Th6 0.337 0.914 0.674
As1 0.831 0.169 0.662
As2 0.169 0.831 0.338
As3 0.500 0.500 0.000
Os1 0.500 0.000 0.000



# 6
# Th6As2Os3S PBE relaxed
# Total magnetization in μB per cell: 0.00
# E_tot in eV/cell: -102.01
# E_form (uncorrected) in eV per atom: -0.8643
data_Th6As2Os3S
_chemical_formula_sum 'Th6 As2 Os3 S1'
_symmetry_space_group_name_H-M 'P 1'
_symmetry_Int_Tables_number 1
_symmetry_space_group_name_Hall 'P 1'
_cell_length_a 4.132
_cell_length_b 8.552
_cell_length_c 9.480
_cell_angle_alpha 105.67
_cell_angle_beta 102.59
_cell_angle_gamma 90.00
loop_
_atom_site_label
_atom_site_fract_x
_atom_site_fract_y
_atom_site_fract_z
Th1 0.006 0.737 0.012
Th2 0.329 0.933 0.659
Th3 0.339 0.405 0.679
Th4 0.661 0.595 0.321
Th5 0.994 0.263 0.988
Th6 0.671 0.067 0.341
As1 0.835 0.672 0.670
As2 0.165 0.328 0.330
Os1 0.166 0.834 0.331
Os2 0.834 0.166 0.669
Os3 0.500 0.500 0.000
S1 0.500 0.000 0.000



# 7
# Th8AsOs3S4 PBE relaxed
# Total magnetization in μB per cell: 0.00
# E_tot in eV/cell: -132.87
# E_form (uncorrected) in eV per atom: -1.1662
data_Th8AsOs3S4
_chemical_formula_sum 'Th8 As1 Os3 S4'
_symmetry_space_group_name_H-M 'P 1'
_symmetry_Int_Tables_number 1
_symmetry_space_group_name_Hall 'P 1'
_cell_length_a 8.251
_cell_length_b 8.431
_cell_length_c 8.252
_cell_angle_alpha 119.30
_cell_angle_beta 120.00
_cell_angle_gamma 90.00
loop_
_atom_site_label
_atom_site_fract_x
_atom_site_fract_y
_atom_site_fract_z
Th1 0.748 0.263 0.015
Th2 0.733 0.737 0.985
Th3 0.252 0.737 0.985
Th4 0.742 0.726 0.484
Th5 0.267 0.263 0.015
Th6 0.258 0.274 0.516
Th7 0.252 0.737 0.504
Th8 0.748 0.263 0.496
Os1 0.500 0.500 0.000
Os2 0.500 0.500 0.500
Os3 0.000 0.500 0.500
S1 0.000 0.000 0.500
S2 0.500 0.000 0.000
S3 0.500 0.000 0.500
S4 0.000 0.000 0.000
As1 0.000 0.500 0.000



# 8
# Th4AsOsS2 PBE relaxed
# Total magnetization in μB per cell: 0.00
# E_tot in eV/cell: -64.36
# E_form (uncorrected) in eV per atom: -1.3189
data_Th4AsOsS2
_chemical_formula_sum 'Th4 As1 Os1 S2'
_symmetry_space_group_name_H-M 'P 1'
_symmetry_Int_Tables_number 1
_symmetry_space_group_name_Hall 'P 1'
_cell_length_a 4.081
_cell_length_b 7.363
_cell_length_c 7.175
_cell_angle_alpha 109.05
_cell_angle_beta 90.00
_cell_angle_gamma 90.00
loop_
_atom_site_label
_atom_site_fract_x
_atom_site_fract_y
_atom_site_fract_z
S1 0.500 0.000 0.500
S2 0.000 0.500 0.500
Os1 0.500 0.500 0.000
Th1 0.500 0.260 0.252
Th2 0.000 0.267 0.764
Th3 0.000 0.733 0.236
Th4 0.500 0.740 0.748
As1 0.000 0.000 0.000